# HfV2Ru2, optimized geometry, DFT PBE-GGA
# calculated formation energy	-0.676	eV per formula unit
# V	153	Å³/cell
# E	-9.4836	eV/atom
data_HfV2Ru2
_space_group_name_H-M_alt 'P 4/m b m'
_space_group_IT_number 127
_space_group_name_Hall '-P 4 2ab'
_cell_length_a 7.338
_cell_length_b 7.338
_cell_length_c 2.844
_cell_angle_alpha 90.00
_cell_angle_beta 90.00
_cell_angle_gamma 90.00
loop_
_atom_site_label
_atom_site_type_symbol
_atom_site_fract_x
_atom_site_fract_y
_atom_site_fract_z
Hf1 Hf 0.000 0.000 0.000
V1 V 0.144 0.356 0.000
Ru1 Ru 0.153 0.653 0.500

=====

# Pr3Pd2, optimized geometry, DFT PBE-GGA
# relative energy among the computed polymorphs	95	meV/atom
# calculated formation energy	-2.574	eV per formula unit
# V	894	Å³/cell
# E	-5.4595	eV/atom
data_Pr3Pd2
_space_group_name_H-M_alt 'R -3 c'
_space_group_IT_number 167
_space_group_name_Hall '-R 3 2"c'
_cell_length_a 7.1774
_cell_length_b 7.1774
_cell_length_c 20.0421
_cell_angle_alpha 90.00
_cell_angle_beta 90.00
_cell_angle_gamma 120.00
loop_
_atom_site_label
_atom_site_type_symbol
_atom_site_fract_x
_atom_site_fract_y
_atom_site_fract_z
Pr1 Pr 0.0000 0.3733 0.2500
Pd1 Pd 0.0000 0.0000 0.1809

=====

# LiYPuN3, optimized geometry, DFT PBE-GGA
# V	159	Å³/cell
# E	-8.9535	eV/atom
data_LiYPuN3
_space_group_name_H-M_alt 'P 1 21/m 1'
_space_group_IT_number 11
_cell_length_a 6.801
_cell_length_b 3.418
_cell_length_c 7.036
_cell_angle_alpha 90.00
_cell_angle_beta 102.78
_cell_angle_gamma 90.00
loop_
_space_group_symop_operation_xyz
'x,y,z'
'-x,-y,-z'
'-x,y+1/2,-z'
'x,-y+1/2,z'
loop_
_atom_site_label
_atom_site_type_symbol
_atom_site_fract_x
_atom_site_fract_y
_atom_site_fract_z
Li1 Li 0.081 0.250 0.074
Y1 Y 0.285 0.750 0.819
Pu1 Pu 0.321 0.750 0.325
N1 N 0.017 0.750 0.211
N2 N 0.363 0.250 0.114
N3 N 0.366 0.250 0.588

=====

# Tb3Pr4Tm4, optimized geometry, DFT PBE-GGA
# relative energy among the computed polymorphs	0	meV/atom
# calculated formation energy	0.220	eV per formula unit
# V	360	Å³/cell
# E	-4.6068	eV/atom
data_Tb3Pr4Tm4
_space_group_name_H-M_alt 'P -1'
_space_group_IT_number 2
_cell_length_a 3.603
_cell_length_b 5.051
_cell_length_c 20.002
_cell_angle_alpha 82.75
_cell_angle_beta 84.85
_cell_angle_gamma 90.00
loop_
_space_group_symop_operation_xyz
'x,y,z'
'-x,-y,-z'
loop_
_atom_site_label
_atom_site_type_symbol
_atom_site_fract_x
_atom_site_fract_y
_atom_site_fract_z
Tb1 Tb 0.000 0.000 0.000
Tb2 Tb 0.364 0.364 0.273
Pr1 Pr 0.182 0.183 0.635
Pr2 Pr 0.454 0.455 0.092
Tm1 Tm 0.093 0.091 0.816
Tm2 Tm 0.272 0.272 0.456

=====

# Sm2DyTmTl2, optimized geometry, DFT PBE-GGA
# calculated formation energy	-1.599	eV per formula unit
# V	353	Å³/cell
# E	-4.1407	eV/atom
data_Sm2DyTmTl2
_space_group_name_H-M_alt 'P m c 21'
_space_group_IT_number 26
_cell_length_a 5.115
_cell_length_b 10.086
_cell_length_c 6.849
_cell_angle_alpha 90.00
_cell_angle_beta 90.00
_cell_angle_gamma 90.00
loop_
_space_group_symop_operation_xyz
'x,y,z'
'-x,-y,z+1/2'
'-x,y,z'
'x,-y,z+1/2'
loop_
_atom_site_label
_atom_site_type_symbol
_atom_site_fract_x
_atom_site_fract_y
_atom_site_fract_z
Sm1 Sm 0.000 0.043 0.000
Sm2 Sm 0.500 0.187 0.276
Dy1 Dy 0.500 0.458 0.906
Tm1 Tm 0.000 0.314 0.623
Tl1 Tl 0.000 0.374 0.164
Tl2 Tl 0.500 0.143 0.744